Below is ThSi2Ir6 after structural relaxation, with properties calculated at the PBE level.

Properties
- Total magnetic moment: 0.00 μB/cell
- Uncorrected formation energy: -0.113 eV/atom

Cell: 11.0381 11.0381 11.0381 Å, 90.00 90.00 90.00°
Closest atoms and distances in Å follow each position.
Space group Fd-3m (No. 227, origin choice 2)
Inequivalent atoms, fractional coordinates:
Th  0.1250  0.1250  0.1250 (multiplicity 8)  6 Ir 2.80
Si  0.0000  0.0000  0.5000 (multiplicity 16)  6 Ir 2.37
Ir  0.1216  0.3750  0.8750 (multiplicity 48)  2 Si 2.37


Below is Th3Si3Ir after structural relaxation, with properties calculated at the PBE level.

Properties
- Total magnetic moment: 0.00 μB/cell
- Uncorrected formation energy: -0.820 eV/atom

Cell: 10.8771 4.2855 14.4816 Å, 90.00 110.26 90.00°
Closest atoms and distances in Å follow each position.
Space group C2/m (No. 12)
Inequivalent atoms, fractional coordinates:
Th  0.0201  0.0000  0.3841 (multiplicity 4)  7 Si 3.05-3.39, 3 Ir 3.09-3.18
Th  0.1070  0.0000  0.9223 (multiplicity 4)  7 Si 3.06-3.17
Th  0.2402  0.0000  0.2312 (multiplicity 4)  2 Ir 3.08, 6 Si 3.09-3.18
Si  0.0257  0.5000  0.2355 (multiplicity 4)  1 Ir 2.53, 1 Si 2.78
Si  0.1058  0.5000  0.0731 (multiplicity 4)  2 Si 2.53-2.78
Si  0.1650  0.5000  0.5384 (multiplicity 4)  3 Ir 2.49-2.62
Ir  0.2358  0.5000  0.3828 (multiplicity 4)  4 Si 2.49-2.62


Below is ThTiSi2Ir5 after structural relaxation, with properties calculated at the PBE level.

Properties
- Total magnetic moment: 0.00 μB/cell
- Uncorrected formation energy: -0.589 eV/atom

Cell: 4.0659 4.0659 10.2507 Å, 90.00 90.00 90.00°
Closest atoms and distances in Å follow each position.
Space group P4/mmm (No. 123)
Inequivalent atoms, fractional coordinates:
Th  0.0000  0.0000  0.0000 (multiplicity 1)  4 Ir 2.88
Ti  0.0000  0.0000  0.5000 (multiplicity 1)  8 Ir 2.59
Si  0.5000  0.5000  0.2296 (multiplicity 2)  5 Ir 2.34-2.35
Ir  0.0000  0.5000  0.3435 (multiplicity 4)  2 Si 2.34, 2 Ti 2.59
Ir  0.5000  0.5000  0.0000 (multiplicity 1)  2 Si 2.35


Below is Tm2Th2Si4Ir after structural relaxation, with properties calculated at the PBE level.

Properties
- Total magnetic moment: 0.00 μB/cell
- Uncorrected formation energy: -0.410 eV/atom

Cell: 6.8715 6.8715 8.4171 Å, 90.00 90.00 90.00°
Closest atoms and distances in Å follow each position.
Space group I4/mmm (No. 139)
Inequivalent atoms, fractional coordinates:
Tm  0.0000  0.0000  0.1851 (multiplicity 4)  1 Ir 2.65, 4 Si 2.90
Th  0.0000  0.5000  0.2500 (multiplicity 4)  8 Si 3.21, 4 Tm 3.48
Si  0.2482  0.2482  0.5000 (multiplicity 8)  1 Ir 2.41
Ir  0.0000  0.0000  0.5000 (multiplicity 2)  4 Si 2.41, 2 Tm 2.65


Below is TmTh2Si2Ir7 after structural relaxation, with properties calculated at the PBE level.

Properties
- Total magnetic moment: 0.00 μB/cell
- Uncorrected formation energy: -0.827 eV/atom

Cell: 5.7903 5.7492 13.3009 Å, 90.00 97.77 90.00°
Closest atoms and distances in Å follow each position.
Space group C2/m (No. 12)
Inequivalent atoms, fractional coordinates:
Tm  0.0000  0.0000  0.0000 (multiplicity 2)  12 Ir 2.87-2.90
Th  0.1003  0.0000  0.3451 (multiplicity 4)  9 Ir 3.07-3.24, 4 Si 3.12-3.19
Si  0.0772  0.5000  0.2492 (multiplicity 4)  5 Ir 2.34-2.38
Ir  0.0000  0.5000  0.0000 (multiplicity 2)  4 Tm 2.87-2.90, 8 Ir 2.89-2.90
Ir  0.1287  0.5000  0.4269 (multiplicity 4)  1 Si 2.34, 1 Ir 2.61
Ir  0.2015  0.2502  0.8441 (multiplicity 8)  2 Si 2.38


Below is TmTh2Si3Ir4 after structural relaxation, with properties calculated at the PBE level.

Properties
- Total magnetic moment: 0.00 μB/cell
- Uncorrected formation energy: -1.005 eV/atom

Cell: 4.1208 4.1208 11.1466 Å, 90.00 90.00 90.00°
Closest atoms and distances in Å follow each position.
Space group P-4m2 (No. 115)
Inequivalent atoms, fractional coordinates:
Tm  0.0000  0.0000  0.0000 (multiplicity 1)  4 Ir 2.77, 4 Si 2.91
Th  0.0000  0.5000  0.7319 (multiplicity 2)  8 Ir 3.13-3.31, 4 Si 3.18
Si  0.0000  0.5000  0.3816 (multiplicity 2)  5 Ir 2.40-2.45
Si  0.5000  0.5000  0.0000 (multiplicity 1)  4 Ir 2.77, 4 Tm 2.91
Ir  0.0000  0.0000  0.5000 (multiplicity 1)  4 Si 2.45
Ir  0.0000  0.5000  0.1659 (multiplicity 2)  1 Si 2.40
Ir  0.5000  0.5000  0.5000 (multiplicity 1)  4 Si 2.45